Material: LiP2W
Method: DFT, PBE-GGA
State: optimized geometry

a = 3.080 Å, b = 3.080 Å, c = 6.311 Å
α = 90.00°, β = 90.00°, γ = 90.00°
Space group P4/mmm (No. 123)
One atom of each set of equivalent atoms:
Li 0.000 0.000 0.000 (multiplicity 1)
P 0.500 0.500 0.284 (multiplicity 2)
W 0.000 0.000 0.500 (multiplicity 1)

polymorph energy (0 for the lowest one) = 0.151 eV/f.u.
magnetic moment = 0.0 μB/f.u.
DFT formation energy = -0.30 eV per atom

***

Material: Y2FeTc
Method: DFT, PBE-GGA
State: optimized geometry

a = 7.434 Å, b = 7.434 Å, c = 5.897 Å
α = 90.00°, β = 90.00°, γ = 90.00°
Space group I-42d (No. 122)
One atom of each set of equivalent atoms:
Y 0.228 0.250 0.125 (multiplicity 8)
Fe 0.000 0.000 0.000 (multiplicity 4)
Tc 0.000 0.000 0.500 (multiplicity 4)

magnetic moment = 0.0 μB/f.u.
DFT formation energy = 0.72 eV per atom